Model 1:
A plane-wave DFT calculation with GGA-PBEsol was carried out for a relaxed structure of AlH3O3.

POSCAR file:
```
AlH3O3
1.0
4.824 0.000 0.000
-2.307 4.482 0.000
-0.786 -1.725 4.691
Al H O
2 6 6
Cartesian
0.000 0.000 0.000
-0.703 1.141 4.676
-1.389 2.804 2.789
0.722 1.448 2.017
1.499 0.561 3.642
2.561 0.486 0.983
3.372 -0.305 2.714
2.668 2.384 1.079
-1.485 3.106 1.091
-1.542 2.496 3.721
0.814 1.435 1.010
0.872 1.328 3.650
3.247 -0.224 1.070
3.355 -0.291 3.723
```

***

Model 2:
A plane-wave DFT calculation with GGA-PBEsol was carried out for a relaxed structure of AlH3O3.

POSCAR file:
```
AlH3O3
1.0
8.345 0.000 0.000
0.000 5.146 0.000
-8.272 0.000 9.273
Al H O
8 24 24
Cartesian
0.000 1.151 0.000
-4.136 3.994 4.637
-5.321 1.219 9.145
-1.185 3.927 4.509
0.009 1.298 4.597
-4.127 3.848 9.233
3.007 1.361 4.748
7.143 3.785 0.111
-3.077 0.727 3.585
-7.214 4.418 8.222
-1.165 0.292 2.162
-5.302 4.854 6.798
-3.091 2.179 5.600
1.045 2.966 0.963
-4.145 2.322 7.252
-0.009 2.824 2.615
-2.308 0.502 5.664
1.828 4.644 1.027
1.569 0.595 2.258
-2.567 4.551 6.895
-1.095 2.314 6.608
3.041 2.832 1.971
-2.653 0.320 8.511
1.483 4.825 3.874
-2.202 2.031 8.261
1.935 3.114 3.625
4.206 0.355 1.952
0.070 4.790 6.588
5.569 2.127 1.098
1.433 3.019 5.734
1.477 1.821 7.314
5.613 3.325 2.677
-6.852 1.849 8.320
-2.716 3.297 3.683
-4.062 2.408 5.703
0.075 2.738 1.067
-1.183 0.368 3.567
-5.320 4.778 8.204
1.564 0.449 1.156
-2.572 4.697 5.793
-4.005 2.216 8.255
0.131 2.930 3.619
-1.290 2.251 5.622
2.847 2.894 0.986
1.587 0.621 3.605
-2.549 4.525 8.242
4.203 0.330 0.951
0.067 4.816 5.588
-1.213 2.185 8.286
2.923 2.960 3.649
1.487 2.033 5.707
5.623 3.112 1.070
4.295 0.474 3.644
0.158 4.672 8.280
7.201 0.213 1.064
3.064 4.932 5.701
```

***

Quick ranking, most stable first: model 1, model 2.